(1)
A plane-wave DFT calculation with PBE-GGA was carried out for a relaxed AlTe2Mo crystal.

For the magnetic moment, the calculation gives 0.325 μB/atom. The calculation puts the density at 7.58 g/cm3. As for the formation energy without anion corrections: 0.48 eV/atom.

```
data_AlTe2Mo
_space_group_name_H-M_alt 'P 1'
_space_group_IT_number 1
_space_group_name_Hall 'P 1'
_cell_length_a 4.952
_cell_length_b 4.952
_cell_length_c 3.380
_cell_angle_alpha 90.00
_cell_angle_beta 90.00
_cell_angle_gamma 91.08
loop_
_atom_site_label
_atom_site_type_symbol
_atom_site_fract_x
_atom_site_fract_y
_atom_site_fract_z
_atom_site_occupancy
Al1 Al 0.000 0.000 0.000 1
Te1 Te 0.000 0.500 0.500 1
Te2 Te 0.500 0.000 0.500 1
Mo1 Mo 0.500 0.500 0.000 1
```

---

(2)
A plane-wave DFT calculation with PBE-GGA was carried out for a relaxed AlTeMo2 crystal.

For the magnetic moment, the calculation gives 0.000 μB/atom. The calculation puts the density at 8.29 g/cm3. Its offset from the most stable computed form is 34.89 kJ per mole of atoms. As for the formation energy without anion corrections: 0.41 eV/atom.

```
data_AlTeMo2
_space_group_name_H-M_alt 'P 1'
_space_group_IT_number 1
_space_group_name_Hall 'P 1'
_cell_length_a 5.208
_cell_length_b 5.208
_cell_length_c 5.208
_cell_angle_alpha 142.06
_cell_angle_beta 125.78
_cell_angle_gamma 68.08
loop_
_atom_site_label
_atom_site_type_symbol
_atom_site_fract_x
_atom_site_fract_y
_atom_site_fract_z
_atom_site_occupancy
Al1 Al 0.000 0.000 0.000 1
Te1 Te 0.500 0.500 0.000 1
Mo1 Mo 0.244 0.744 0.500 1
Mo2 Mo 0.756 0.256 0.500 1
```

---

(3)
A plane-wave DFT calculation with PBE-GGA was carried out for a relaxed AlTeMo2 crystal.

For the magnetic moment, the calculation gives 0.000 μB/atom. The calculation puts the density at 8.40 g/cm3. Its offset from the most stable computed form is 22.98 kJ per mole of atoms. As for the formation energy without anion corrections: 0.29 eV/atom.

```
data_AlTeMo2
_space_group_name_H-M_alt 'P 1'
_space_group_IT_number 1
_space_group_name_Hall 'P 1'
_cell_length_a 5.292
_cell_length_b 5.292
_cell_length_c 5.292
_cell_angle_alpha 142.25
_cell_angle_beta 130.14
_cell_angle_gamma 64.20
loop_
_atom_site_label
_atom_site_type_symbol
_atom_site_fract_x
_atom_site_fract_y
_atom_site_fract_z
_atom_site_occupancy
Al1 Al 0.000 0.000 0.000 1
Te1 Te 0.730 0.230 0.500 1
Mo1 Mo 0.235 0.735 0.500 1
Mo2 Mo 0.485 0.485 0.000 1
```

---

- What is the formula in the second record?
  AlTeMo2

---

- What is the formation energy without anion corrections in the second record?
  0.41 eV/atom

---

- Look up the formation energy without anion corrections of the first one.
  0.48 eV/atom